{"formula": "B2ClO", "functional": "PBE", "state": "optimized geometry", "lattice": [[-0.388, -3.756, 0.622], [-1.539, -1.249, 3.274], [-3.481, -1.591, -0.007]], "species": ["B", "B", "O", "Cl"], "fractional_positions": [[0.250, 0.250, 0.250], [0.750, 0.750, 0.750], [0.000, 0.000, 0.000], [0.500, 0.500, 0.500]], "dos_at_fermi_per_ev_atom": 0.35, "de_polymorph_ev_per_fu": 4.742, "formation_energy_uncorrected_ev_per_fu": 7.7, "space_group": "Fm-3m", "magmom_total_mub_per_fu": 0.0, "e_tot_ev_per_atom": -3.106}